Computed, not measured: a relaxed LaYZnPd crystal at the GGA-PBE level of DFT.

Cell: 7.283 7.283 7.283 Å, 90.00 90.00 90.00°
Space group F-43m (No. 216)
One atom of each set of equivalent atoms:
La (0.000, 0.000, 0.000)
Y (0.000, 0.000, 0.500)
Zn (0.250, 0.250, 0.750)
Pd (0.250, 0.250, 0.250)

Output
Calculated density in g/cm³: 6.87
E_form in eV per atom: -0.535
Total energy in Ha/atom: -0.1837
Offset from the most stable computed form in kcal/mol of atoms: 0.58
Size of the total moment in μB/atom: 0.00

---

Computed, not measured: a relaxed CuSbMo2 crystal at the GGA-PBE level of DFT.

Cell: 6.384 6.384 6.384 Å, 90.00 90.00 90.00°
Space group F-43m (No. 216)
One atom of each set of equivalent atoms:
Cu (0.000, 0.000, 0.000)
Sb (0.250, 0.250, 0.750)
Mo (0.000, 0.000, 0.500)
Mo (0.250, 0.250, 0.250)

Output
Calculated density in g/cm³: 9.63
Energy relative to the elements, uncorrected in eV/f.u.: 1.41
Total energy in Ha/atom: -0.2616
Size of the total moment in μB/atom: 0.00

---

Please write out number 1 again, unchanged.
Computed, not measured: a relaxed LaYZnPd crystal at the GGA-PBE level of DFT.

Cell: 7.283 7.283 7.283 Å, 90.00 90.00 90.00°
Space group F-43m (No. 216)
One atom of each set of equivalent atoms:
La (0.000, 0.000, 0.000)
Y (0.000, 0.000, 0.500)
Zn (0.250, 0.250, 0.750)
Pd (0.250, 0.250, 0.250)

Output
Calculated density in g/cm³: 6.87
E_form in eV per atom: -0.535
Total energy in Ha/atom: -0.1837
Offset from the most stable computed form in kcal/mol of atoms: 0.58
Size of the total moment in μB/atom: 0.00

---

> Which formula does entry 2 have?

CuSbMo2

---

> What is the formula in the first record?

LaYZnPd

---

> Number 2 is which compound?

CuSbMo2